Record 1
Below is an optimized crystal structure of BaY2Mg, with properties calculated at the PBE level.

Properties
As for the final energy: -3.894 eV/atom. The calculation puts the density of states at the Fermi level at 4.411 states/eV per cell.

Cell: 3.6545 5.2023 7.2282 Å, 90.00 90.00 90.00°
With the nearest neighbours (Å) after each atom.
Fractional coordinates of all 4 atoms:
1 Ba 0.5000 0.5000 0.2500  2 Mg 3.61, 2 Ba 3.65, 8 Y 3.75
2 Mg 0.5000 0.5000 0.7500  8 Y 3.57, 2 Ba 3.61, 2 Mg 3.65
3 Y 0.0000 0.0000 0.9749  1 Y 3.25, 4 Mg 3.57
4 Y 0.0000 0.0000 0.5251  1 Y 3.25, 4 Mg 3.57

***

Record 2
Below is an optimized crystal structure of BaYMg2, with properties calculated at the PBE level.

Properties
For the energy above the most stable polymorph in this dataset, the calculation gives 181 meV per atom. The calculation puts the density of states at the Fermi level at 4.902 states/eV per cell.

Cell: 11.5321 11.5321 11.5321 Å, 18.52 18.52 18.52°
With the nearest neighbours (Å) after each atom.
Fractional coordinates of all 4 atoms:
1 Ba 0.7500 0.7500 0.7500  6 Ba 3.71, 6 Mg 3.74
2 Mg 0.9932 0.9932 0.9932  3 Y 3.37, 6 Mg 3.71, 3 Ba 3.74
3 Mg 0.5068 0.5068 0.5068  3 Y 3.37, 6 Mg 3.71, 3 Ba 3.74
4 Y 0.2500 0.2500 0.2500  6 Mg 3.37, 6 Y 3.71

***

Record 3
Below is an optimized crystal structure of BaY2Mg, with properties calculated at the PBE level.

Properties
As for the final energy: -3.708 eV/atom. The calculation puts the density of states at the Fermi level at 9.790 states/eV per cell.

Cell: 4.8688 4.8688 12.7648 Å, 79.01 79.01 90.00°
With the nearest neighbours (Å) after each atom.
Fractional coordinates of all 8 atoms:
1 Y 0.6063 0.1250 0.2500  4 Y 3.32-3.57, 2 Mg 3.49, 2 Ba 3.55
2 Y 0.1437 0.6250 0.2500  4 Y 3.32-3.57, 2 Mg 3.49, 2 Ba 3.55
3 Y 0.3750 0.3937 0.7500  4 Y 3.32-3.57, 2 Mg 3.49, 2 Ba 3.55
4 Y 0.8750 0.8563 0.7500  4 Y 3.32-3.57, 2 Mg 3.49, 2 Ba 3.55
5 Mg 0.5000 0.5000 0.0000  4 Ba 3.44, 4 Y 3.49
6 Mg 0.2500 0.7500 0.5000  4 Ba 3.44, 4 Y 3.49
7 Ba 0.0000 0.0000 0.0000  4 Mg 3.44, 4 Y 3.55
8 Ba 0.7500 0.2500 0.5000  4 Mg 3.44, 4 Y 3.55

***

Record 4
Below is an optimized crystal structure of BaY2Mg, with properties calculated at the PBE level.

Properties
As for the final energy: -3.949 eV/atom. The calculation puts the density of states at the Fermi level at 5.612 states/eV per cell.

Cell: 11.9439 11.9439 11.9439 Å, 17.90 17.90 17.90°
With the nearest neighbours (Å) after each atom.
Fractional coordinates of all 4 atoms:
1 Ba 0.2500 0.2500 0.2500  6 Ba 3.72, 6 Y 3.97
2 Mg 0.7500 0.7500 0.7500  6 Y 3.32, 6 Mg 3.72
3 Y 0.0113 0.0113 0.0113  3 Mg 3.32, 6 Y 3.72
4 Y 0.4887 0.4887 0.4887  3 Mg 3.32, 6 Y 3.72

***

Record 5
Below is an optimized crystal structure of BaYMg14, with properties calculated at the PBE level.

Properties
For the energy above the most stable polymorph in this dataset, the calculation gives 0 meV per atom. The calculation puts the density of states at the Fermi level at 6.535 states/eV per cell.

Cell: 6.7583 6.7583 10.5016 Å, 90.00 90.00 120.00°
With the nearest neighbours (Å) after each atom.
Fractional coordinates of all 16 atoms:
1 Ba 0.0000 0.0000 0.5000  12 Mg 3.38-3.40
2 Y 0.0000 0.0000 0.0000  12 Mg 3.24-3.38
3 Mg 0.0026 0.5013 0.0000  10 Mg 3.16-3.41, 2 Y 3.38
4 Mg 0.0162 0.5081 0.5000  10 Mg 3.21-3.54, 2 Ba 3.38
5 Mg 0.4987 0.9974 0.0000  10 Mg 3.16-3.41, 2 Y 3.38
6 Mg 0.4919 0.9838 0.5000  10 Mg 3.21-3.54, 2 Ba 3.38
7 Mg 0.4987 0.5013 0.0000  10 Mg 3.16-3.41, 2 Y 3.38
8 Mg 0.4919 0.5081 0.5000  10 Mg 3.21-3.54, 2 Ba 3.38
9 Mg 0.1741 0.8259 0.2405  10 Mg 3.16-3.53, 1 Y 3.24, 1 Ba 3.40
10 Mg 0.1741 0.8259 0.7595  10 Mg 3.16-3.53, 1 Y 3.24, 1 Ba 3.40
11 Mg 0.1741 0.3481 0.2405  10 Mg 3.16-3.53, 1 Y 3.24, 1 Ba 3.40
12 Mg 0.1741 0.3481 0.7595  10 Mg 3.16-3.53, 1 Y 3.24, 1 Ba 3.40
13 Mg 0.6519 0.8259 0.2405  10 Mg 3.16-3.53, 1 Y 3.24, 1 Ba 3.40
14 Mg 0.6519 0.8259 0.7595  10 Mg 3.16-3.53, 1 Y 3.24, 1 Ba 3.40
15 Mg 0.6667 0.3333 0.2532  12 Mg 3.30-3.38
16 Mg 0.6667 0.3333 0.7468  12 Mg 3.30-3.38

***

Record 6
Below is an optimized crystal structure of Ba3YMg, with properties calculated at the PBE level.

Properties
For the energy above the most stable polymorph in this dataset, the calculation gives 126 meV per atom. The calculation puts the density of states at the Fermi level at 9.843 states/eV per cell.

Cell: 6.5498 6.5498 6.5498 Å, 90.00 90.00 90.00°
With the nearest neighbours (Å) after each atom.
Fractional coordinates of all 5 atoms:
1 Y 0.0000 0.0000 0.0000  6 Ba 3.27
2 Mg 0.5000 0.5000 0.5000  12 Ba 4.63
3 Ba 0.0000 0.5000 0.0000  2 Y 3.27
4 Ba 0.0000 0.0000 0.5000  2 Y 3.27
5 Ba 0.5000 0.0000 0.0000  2 Y 3.27

***

What is the formula in the fifth record?
BaYMg14